## LiPrSeS (PBE)

Data for a geometry-optimized LiPrSeS structure.

a b c (Å): 4.8945 4.8945 7.6599
angles (deg): 90.00 90.00 90.00
Last column: nearest neighbours and their distance in Å.
Positions (direct):
Li1 0.2500 0.7500 0.0000  4 Se 2.57
Li2 0.7500 0.2500 0.0000  4 Se 2.57
Pr1 0.2500 0.2500 0.3189  4 S 2.81
Pr2 0.7500 0.7500 0.6811  4 S 2.81
Se1 0.2500 0.2500 0.8971  4 Li 2.57
Se2 0.7500 0.7500 0.1029  4 Li 2.57
S1 0.2500 0.7500 0.5000  4 Pr 2.81
S2 0.7500 0.2500 0.5000  4 Pr 2.81

Summary:
Formation energy (no corrections) = -1.558 eV per atom
Total magnetic moment = 0.0 μB/f.u.
E = -5.13 eV per atom